No. 1
This record from Alexandria via LeMat-Bulk describes an optimized crystal structure of ZrGeBi2F. The functional is PBE.

Computed properties:
total magnetization = 0.0 μB/f.u.
uncorrected formation energy = 1.266 eV/f.u.
energy above the most stable polymorph in this dataset = 256 meV per atom
space-group type = No. 123

abc: 5.4448 5.4448 5.1417
angles: 90.00 90.00 90.00
Atoms (fractional coordinates):
1 Zr 0.0000 0.0000 0.0000
2 Ge 0.0000 0.0000 0.5000
3 Bi 0.0000 0.5000 0.5000
4 Bi 0.5000 0.0000 0.5000
5 F 0.5000 0.5000 0.0000

***

No. 2
This record from Alexandria via LeMat-Bulk describes an optimized crystal structure of ZrGeBi2F. The functional is PBE.

Computed properties:
total magnetization = 0.0 μB/f.u.
uncorrected formation energy = -0.012 eV/f.u.
energy above the most stable polymorph in this dataset = 0 meV per atom
space-group type = No. 123

abc: 5.5877 5.5877 5.1999
angles: 90.00 90.00 90.00
Atoms (fractional coordinates):
1 Zr 0.0000 0.0000 0.0000
2 Ge 0.0000 0.0000 0.5000
3 Bi 0.0000 0.5000 0.0000
4 Bi 0.5000 0.0000 0.0000
5 F 0.5000 0.5000 0.5000

***

No. 3
This record from Alexandria via LeMat-Bulk describes an optimized crystal structure of BiH2F2. The functional is PBE.

Computed properties:
total magnetization = 0.0 μB/f.u.
energy above the most stable polymorph in this dataset = 0 meV per atom
space-group type = No. 127

abc: 6.2062 6.2062 3.0244
angles: 90.00 90.00 90.00
Atoms (fractional coordinates):
1 Bi 0.0000 0.0000 0.0000
2 Bi 0.5000 0.5000 0.0000
3 H 0.0425 0.4575 0.0000
4 H 0.4575 0.9575 0.0000
5 H 0.5425 0.0425 0.0000
6 H 0.9575 0.5425 0.0000
7 F 0.2465 0.2535 0.5000
8 F 0.2535 0.7535 0.5000
9 F 0.7465 0.2465 0.5000
10 F 0.7535 0.7465 0.5000

***

No. 4
This record from Alexandria via LeMat-Bulk describes an optimized crystal structure of BiH2F. The functional is PBE.

Computed properties:
total magnetization = 0.0 μB/f.u.
energy above the most stable polymorph in this dataset = 2 meV per atom
space-group type = No. 122

abc: 7.4155 7.4155 7.4155
angles: 149.18 149.18 44.15
Atoms (fractional coordinates):
1 Bi 0.0000 0.0000 0.0000
2 Bi 0.7500 0.2500 0.5000
3 H 0.0047 0.6250 0.8797
4 H 0.3750 0.2547 0.3797
5 H 0.7453 0.1250 0.1203
6 H 0.8750 0.9953 0.6203
7 F 0.2500 0.7500 0.5000
8 F 0.5000 0.5000 0.0000